1.
Ca2MoCl | PBE | optimized geometry

DOS at the Fermi energy (states/eV per cell): 3.331
Symmetry: I-4m2 (119)
Energy above the lowest structure with this stoichiometry (kcal/mol of atoms): 11.887
Volume (Å³ per cell): 113
Theoretical density (g cm⁻³): 3.1
Energy relative to the elements, uncorrected (eV/atom): 0.26

Structure (POSCAR):
```
Ca2MoCl
1.0
-2.115 2.115 6.322
2.115 -2.115 6.322
2.115 2.115 -6.322
Ca Mo Cl
2 1 1
Direct
0.000 0.000 0.000 Ca
0.750 0.250 0.500 Ca
0.500 0.500 0.000 Mo
0.250 0.750 0.500 Cl
```

2.
Ca2MoCl | PBE | optimized geometry

DOS at the Fermi energy (states/eV per cell): 1.885
Symmetry: P4mm (99)
Energy above the lowest structure with this stoichiometry (kcal/mol of atoms): 8.949
Volume (Å³ per cell): 111
Theoretical density (g cm⁻³): 3.2
Energy relative to the elements, uncorrected (eV/atom): 0.14

Structure (POSCAR):
```
Ca2MoCl
1.0
4.182 0.000 0.000
0.000 4.182 0.000
0.000 0.000 6.330
Ca Mo Cl
2 1 1
Direct
0.000 0.000 0.000 Ca
0.500 0.500 0.402 Ca
0.500 0.500 0.905 Mo
0.000 0.000 0.455 Cl
```